Compound: Dy2Sc8In3
Source: Alexandria via LeMat-Bulk
Functional: PBE-GGA
Structure: relaxed

a = 5.9875 Å, b = 5.9875 Å, c = 11.6158 Å
α = 75.06°, β = 75.06°, γ = 60.00°
Last column: magnetic moment on the atom in μB.
Fractional positions:
1 Dy 0.6390 0.6390 0.0829  0.24
2 Dy 0.3610 0.3610 0.9171  0.24
3 Sc 0.7293 0.7293 0.8122  0.22
4 Sc 0.2707 0.2707 0.1878  0.22
5 Sc 0.2241 0.7215 0.3330  0.03
6 Sc 0.7215 0.2241 0.3330  0.03
7 Sc 0.7215 0.7215 0.3330  0.03
8 Sc 0.2785 0.7759 0.6670  0.03
9 Sc 0.7759 0.2785 0.6670  0.03
10 Sc 0.2785 0.2785 0.6670  0.03
11 In 0.0000 0.0000 0.0000  -0.02
12 In 0.8141 0.8141 0.5576  0.00
13 In 0.1859 0.1859 0.4424  0.00

**SG**: R-3m, No. 166
**DFT formation energy**: 77 meV/atom
**V**: 26.48 Å³ per atom

---

Compound: DySc6In
Source: Alexandria via LeMat-Bulk
Functional: PBE-GGA
Structure: relaxed

a = 4.5919 Å, b = 4.5919 Å, c = 9.3588 Å
α = 90.00°, β = 90.00°, γ = 90.00°
Last column: magnetic moment on the atom in μB.
Fractional positions:
1 Dy 0.0000 0.0000 0.5000  -0.04
2 Sc 0.5000 0.5000 0.0000  0.20
3 Sc 0.5000 0.5000 0.5000  -0.05
4 Sc 0.5000 0.0000 0.2419  0.06
5 Sc 0.5000 0.0000 0.7581  0.06
6 Sc 0.0000 0.5000 0.2419  0.06
7 Sc 0.0000 0.5000 0.7581  0.06
8 In 0.0000 0.0000 0.0000  -0.01

**SG**: P4/mmm, No. 123
**DFT formation energy**: -95 meV/atom
**V**: 24.67 Å³ per atom

---

Compound: Dy4ScIn
Source: Alexandria via LeMat-Bulk
Functional: PBE-GGA
Structure: relaxed

a = 5.1862 Å, b = 5.1852 Å, c = 9.0849 Å
α = 73.44°, β = 73.42°, γ = 59.99°
Fractional positions:
1 Dy 0.6270 0.6272 0.1187
2 Dy 0.3730 0.3728 0.8813
3 Dy 0.1226 0.1228 0.6320
4 Dy 0.8774 0.8772 0.3680
5 Sc 0.0000 0.0000 0.0000
6 In 0.5000 0.5000 0.5000

**SG**: R-3m, No. 166
**DFT formation energy**: 304 meV/atom
**V**: 33.29 Å³ per atom
**Polymorph energy (0 for the lowest one)**: 282 meV per atom

---

Compound: Dy3Sc2In
Source: Alexandria via LeMat-Bulk
Functional: PBE-GGA
Structure: relaxed

a = 5.3101 Å, b = 6.1537 Å, c = 10.1482 Å
α = 90.00°, β = 90.00°, γ = 90.00°
Fractional positions:
1 Dy 0.5000 0.1705 0.0697
2 Dy 0.5000 0.1014 0.7387
3 Dy 0.0000 0.4136 0.4213
4 Dy 0.5000 0.6705 0.9303
5 Dy 0.5000 0.6014 0.2613
6 Dy 0.0000 0.9136 0.5787
7 Sc 0.0000 0.9441 0.2360
8 Sc 0.5000 0.0939 0.4108
9 Sc 0.0000 0.4441 0.7640
10 Sc 0.5000 0.5939 0.5892
11 In 0.0000 0.9778 0.9135
12 In 0.0000 0.4778 0.0865

**SG**: Pmc2_1, No. 26
**DFT formation energy**: -105 meV/atom
**V**: 27.63 Å³ per atom
**Polymorph energy (0 for the lowest one)**: 30 meV per atom

---

Compound: DyScIn4
Source: Alexandria via LeMat-Bulk
Functional: PBE-GGA
Structure: relaxed

a = 5.9273 Å, b = 5.9273 Å, c = 5.9273 Å
α = 60.00°, β = 60.00°, γ = 60.00°
Fractional positions:
1 Sc 0.0000 0.0000 0.0000
2 In 0.6251 0.6251 0.1247
3 In 0.6251 0.1247 0.6251
4 In 0.6251 0.6251 0.6251
5 In 0.1247 0.6251 0.6251
6 Dy 0.2500 0.2500 0.2500

**SG**: F-43m, No. 216
**DFT formation energy**: -234 meV/atom
**V**: 24.54 Å³ per atom

---

Compound: Dy5Sc4In
Source: Alexandria via LeMat-Bulk
Functional: PBE-GGA
Structure: relaxed

a = 6.0004 Å, b = 7.6333 Å, c = 7.6333 Å
α = 81.11°, β = 66.86°, γ = 66.86°
Fractional positions:
1 Dy 0.8182 0.3904 0.9043
2 Dy 0.2086 0.9043 0.6096
3 Dy 0.7224 0.0957 0.3904
4 Dy 0.1129 0.6096 0.0957
5 Dy 0.6412 0.0000 0.0000
6 Sc 0.4058 0.4168 0.6914
7 Sc 0.8226 0.6914 0.5832
8 Sc 0.0972 0.3086 0.4168
9 Sc 0.5139 0.5832 0.3086
10 In 0.1675 0.0000 0.0000

**SG**: I4, No. 79
**DFT formation energy**: 249 meV/atom
**V**: 29.56 Å³ per atom

---

Compound: Dy8ScIn2
Source: Alexandria via LeMat-Bulk
Functional: PBE-GGA
Structure: relaxed

a = 5.5642 Å, b = 8.7357 Å, c = 8.7357 Å
α = 119.62°, β = 102.56°, γ = 102.56°
Fractional positions:
1 Dy 0.8775 0.9043 0.6772
2 Dy 0.8775 0.6772 0.9043
3 Dy 0.2978 0.6061 0.6061
4 Dy 0.5000 0.7887 0.2113
5 Dy 0.5000 0.2113 0.7887
6 Dy 0.7022 0.3939 0.3939
7 Dy 0.1225 0.3228 0.0957
8 Dy 0.1225 0.0957 0.3228
9 Sc 0.5000 0.0000 0.0000
10 In 0.0000 0.3057 0.6943
11 In 0.0000 0.6943 0.3057

**SG**: C2/m, No. 12
**DFT formation energy**: -41 meV/atom
**V**: 30.25 Å³ per atom

---

Compound: DyScIn
Source: Alexandria via LeMat-Bulk
Functional: PBE-GGA
Structure: relaxed

a = 3.1709 Å, b = 5.2017 Å, c = 5.2017 Å
α = 120.00°, β = 90.00°, γ = 90.00°
Fractional positions:
1 Sc 0.1647 0.0000 0.0000
2 In 0.6671 0.6667 0.3333
3 Dy 0.1682 0.3333 0.6667

**SG**: P3m1, No. 156
**DFT formation energy**: -80 meV/atom
**V**: 24.77 Å³ per atom
**Polymorph energy (0 for the lowest one)**: 289 meV per atom